Entry from Alexandria: a PBEsol-optimized structure of Re2BIrI (meta-GGA SCAN).

```
Re2BIrI
1.0
4.732 0.000 0.000
0.000 4.732 0.000
0.000 0.000 5.432
I Re B Ir
1 2 1 1
Direct
0.000 0.000 0.500
0.000 0.500 0.000
0.500 0.000 0.000
0.500 0.500 0.500
0.000 0.000 0.000
```

Summary:
The value obtained for the size of the total moment is 3.952 μB per formula unit. Its formation energy from raw total energies is 2.88 eV/atom. As for the density: 9.59 g cm⁻³.